Entry from Alexandria via LeMat-Bulk: MoAsOs2 after structural relaxation (PBE-GGA).

## Properties
For the total energy, the calculation gives -9.216 eV per atom. Its formation enthalpy at 0 K is 269 meV per atom. Its crystal system is monoclinic.

Cell: 9.405 2.844 4.549 Å, 90.00 94.08 90.00°
Space group C2/m (No. 12)
Unique sites:
Mo 0.000 0.000 0.000 (multiplicity 2)
As 0.000 0.500 0.500 (multiplicity 2)
Os 0.231 0.500 0.240 (multiplicity 4)



Entry from Alexandria via LeMat-Bulk: InReP after structural relaxation (PBE-GGA).

## Properties
For the total energy, the calculation gives -6.817 eV per atom. Its formation enthalpy at 0 K is 49 meV per atom. Its crystal system is trigonal. The value obtained for the relative energy among the computed polymorphs is 0.00 eV/f.u.

Cell: 3.1233 3.1233 6.2169 Å, 90.00 90.00 120.00°
Space group P3m1 (No. 156)
Unique sites:
In 0.0000 0.0000 0.0000 (multiplicity 1)
Re 0.3333 0.6667 0.6330 (multiplicity 1)
P 0.6667 0.3333 0.3884 (multiplicity 1)



Entry from Alexandria via LeMat-Bulk: NaSrAs2Br after structural relaxation (PBE-GGA).

## Properties
Its uncorrected formation energy is -0.188 eV/atom. For the total energy, the calculation gives -2.982 eV per atom. Its crystal system is tetragonal. The value obtained for the relative energy among the computed polymorphs is 0.00 eV/f.u.

Cell: 5.088 5.088 5.667 Å, 90.00 90.00 90.00°
Space group P4/mmm (No. 123)
Unique sites:
Na 0.000 0.000 0.000 (multiplicity 1)
Sr 0.500 0.500 0.500 (multiplicity 1)
As 0.000 0.500 0.000 (multiplicity 2)
Br 0.000 0.000 0.500 (multiplicity 1)



Entry from Alexandria via LeMat-Bulk: Pm5ScBi4 after structural relaxation (PBE-GGA).

## Properties
For the total energy, the calculation gives -5.074 eV per atom. Its formation enthalpy at 0 K is -513 meV per atom. Its crystal system is monoclinic.

Cell: 19.220 4.420 8.582 Å, 90.00 105.72 90.00°
Space group C2/m (No. 12)
Unique sites:
Pm 0.000 0.000 0.000 (multiplicity 2)
Pm 0.167 0.500 0.314 (multiplicity 4)
Pm 0.177 0.500 0.853 (multiplicity 4)
Sc 0.000 0.000 0.500 (multiplicity 2)
Bi 0.006 0.500 0.741 (multiplicity 4)
Bi 0.163 0.000 0.579 (multiplicity 4)



Entry from Alexandria via LeMat-Bulk: LiSnIN2 after structural relaxation (PBE-GGA).

## Properties
Its uncorrected formation energy is 1.419 eV/atom. For the total energy, the calculation gives -3.404 eV per atom. Its crystal system is tetragonal. The value obtained for the relative energy among the computed polymorphs is 3.28 eV/f.u.

Cell: 4.435 4.435 5.138 Å, 90.00 90.00 90.00°
Space group P4/mmm (No. 123)
Unique sites:
Li 0.000 0.000 0.000 (multiplicity 1)
Sn 0.500 0.500 0.500 (multiplicity 1)
I 0.000 0.000 0.500 (multiplicity 1)
N 0.000 0.500 0.000 (multiplicity 2)



Entry from Alexandria via LeMat-Bulk: CsK2CdCl5 after structural relaxation (PBE-GGA).

## Properties
Its uncorrected formation energy is -1.687 eV/atom. For the total energy, the calculation gives -3.153 eV per atom. Its crystal system is orthorhombic.

Cell: 5.218 7.601 14.991 Å, 90.00 90.00 90.00°
Space group Immm (No. 71)
Unique sites:
Cs 0.000 0.000 0.000 (multiplicity 2)
K 0.000 0.500 0.207 (multiplicity 4)
Cd 0.000 0.000 0.500 (multiplicity 2)
Cl 0.000 0.241 0.370 (multiplicity 8)
Cl 0.000 0.500 0.000 (multiplicity 2)